Record 1
! PBE CrWBr2, optimized geometry; values from VASP
! **Offset from the most stable computed form**: 25 meV per atom
! **Energy relative to the elements, uncorrected**: 0.193 eV per atom
! **SG**: Pm (6)
&SYSTEM
  ibrav = 0, nat = 4, ntyp = 3
/
ATOMIC_SPECIES
Br 79.90 Br.upf
Cr 52.00 Cr.upf
W 183.84 W.upf
CELL_PARAMETERS angstrom
-1.4416 2.3494 -1.1967
-1.9656 0.1698 2.7013
6.0114 5.6271 3.8056
ATOMIC_POSITIONS angstrom
Br 0.5847 3.1181 1.6444
Br 3.8027 5.3503 5.9229
Cr 2.5608 3.1429 3.0854
W 1.7248 5.2304 4.4178

***

Record 2
! PBE La8GaS3I4, optimized geometry; values from VASP
! **Energy relative to the elements, uncorrected**: -1.438 eV per atom
! **SG**: R-3m (166)
&SYSTEM
  ibrav = 0, nat = 16, ntyp = 4
/
ATOMIC_SPECIES
Ga 69.72 Ga.upf
S 32.06 S.upf
I 126.90 I.upf
La 138.91 La.upf
CELL_PARAMETERS angstrom
8.5490 0.0000 0.0000
0.0000 9.2695 0.5064
-4.2745 -4.2726 6.0464
ATOMIC_POSITIONS angstrom
Ga 0.0000 4.6347 0.2532
S 2.1372 2.4985 3.2764
S 4.2745 4.6347 0.2532
S -2.1372 2.4985 3.2764
I -2.1372 -2.1363 3.0232
I 0.0000 0.0000 0.0000
I 2.1372 -2.1363 3.0232
I 4.2745 0.0000 0.0000
La 2.2107 2.6374 0.4046
La 4.2745 0.5745 3.3239
La 0.0000 4.4224 3.2289
La -2.0638 2.3595 6.1481
La 0.0000 0.5691 3.4239
La 2.0637 2.3595 6.1481
La 6.3382 2.6374 0.4046
La 4.2745 4.4279 3.1288

***

Record 3
! PBE Cd3NiAg, optimized geometry; values from VASP
! **Offset from the most stable computed form**: 782 meV per atom
! **SG**: Pm-3m (221)
! **Energy relative to the elements**: 79 kJ/mol of atoms
&SYSTEM
  ibrav = 0, nat = 5, ntyp = 3
/
ATOMIC_SPECIES
Ag 107.87 Ag.upf
Cd 112.41 Cd.upf
Ni 58.69 Ni.upf
CELL_PARAMETERS angstrom
-3.1003 3.4088 2.3849
-1.3095 -3.6228 3.4757
3.9488 1.4749 3.0251
ATOMIC_POSITIONS angstrom
Ag 0.0000 0.0000 0.0000
Cd -0.6548 -1.8114 1.7379
Cd 1.9744 0.7375 1.5126
Cd -1.5502 1.7044 1.1925
Ni -0.2305 0.6305 4.4429